NpVC | PBE | optimized geometry

The total energy comes out at -10.18 eV per atom. Its crystal system is tetragonal. Its formation energy is 249 meV per atom. The energy above the most stable polymorph in this dataset is 0.280 eV per atom. For the total moment, the calculation gives 4.96 μB per cell.

It has space group I4mm (No. 107), with a = 2.881 Å, b = 2.881 Å, c = 9.321 Å, α = 90.00°, β = 90.00° and γ = 90.00°. The inequivalent atoms are Np at (0.000, 0.000, 0.000), V at (0.000, 0.000, 0.730) and C at (0.000, 0.000, 0.298).

PmPuZnAg | PBE | optimized geometry

The total energy comes out at -5.88 eV per atom. Its crystal system is cubic. Its formation energy is -75 meV per atom. For the total moment, the calculation gives 24.47 μB per cell.

It has space group F-43m (No. 216), with a = 7.346 Å, b = 7.346 Å, c = 7.346 Å, α = 90.00°, β = 90.00° and γ = 90.00°. The inequivalent atoms are Pm at (0.000, 0.000, 0.000), Pu at (0.000, 0.000, 0.500), Zn at (0.250, 0.250, 0.750) and Ag at (0.250, 0.250, 0.250).